La3Nd3DySe8: relaxed, PBE.

POSCAR file:
```
La3Nd3DySe8
1.0
-5.349 2.609 6.029
-1.324 -7.387 -3.930
6.522 0.793 5.443
Se La Dy Nd
8 3 1 3
Cartesian
2.883 -2.373 3.584
-0.522 -4.812 4.656
-2.358 2.158 5.964
0.202 -1.128 6.619
2.207 -6.143 1.579
-3.033 -1.612 3.958
0.372 0.826 2.887
-0.352 -2.857 0.923
0.000 0.000 0.000
-3.336 -2.389 1.050
-0.662 -3.694 -1.965
3.261 0.397 2.721
0.587 1.701 5.736
2.599 -3.297 0.757
-0.075 -1.993 3.771
```

Calculated values
Total magnetization   0.000 μB per formula unit
ΔE_f (raw)   -1.938 eV per atom
Symmetry   No. 166